# Li3Mn4O8

Li3Mn4O8 after structural relaxation (PBE with a Hubbard U, Alexandria).

Crystal system: triclinic
Total magnetization: 30.00 Bohr magnetons per cell
Offset from the most stable computed form: 0.39 eV per formula unit
SG: P-1 (2)
D(E_F): 2.01 states/eV per cell

abc: 6.081 6.113 8.105
angles: 90.52 90.27 93.52
Element x y z (fractional)
Li: 0.000 0.000 0.000
Li: 0.000 0.000 0.500
Li: 0.248 0.753 0.250
Li: 0.500 0.500 0.000
Li: 0.500 0.500 0.500
Li: 0.752 0.247 0.750
Mn: 0.000 0.500 0.500
Mn: 0.250 0.250 0.250
Mn: 0.250 0.250 0.750
Mn: 0.250 0.750 0.750
Mn: 0.500 0.000 0.000
Mn: 0.750 0.250 0.250
Mn: 0.750 0.750 0.250
Mn: 0.750 0.750 0.750
O: 0.018 0.965 0.750
O: 0.019 0.506 0.739
O: 0.219 0.283 0.493
O: 0.230 0.731 0.510
O: 0.270 0.770 0.990
O: 0.281 0.217 0.007
O: 0.481 0.536 0.749
O: 0.481 0.994 0.761
O: 0.519 0.006 0.239
O: 0.519 0.464 0.251
O: 0.719 0.783 0.993
O: 0.730 0.230 0.010
O: 0.770 0.269 0.490
O: 0.781 0.717 0.507
O: 0.981 0.494 0.261
O: 0.982 0.035 0.250